Arrangement A

Below is an optimized crystal structure of Hg2Mo2O7, with properties calculated at the GGA+U level.

Summary:
- symmetry = C2/c, No. 15
- total magnetization (μB/atom) = 0.0000

a = 7.3465 Å, b = 7.3465 Å, c = 14.9399 Å
α = 102.85°, β = 102.85°, γ = 65.34°
Fractional coordinates of all 44 atoms:
Hg 0.1101 0.7545 0.9379
Hg 0.2455 0.8899 0.5621
Hg 0.2591 0.5816 0.4351
Hg 0.4184 0.7409 0.0649
Hg 0.5816 0.2591 0.9351
Hg 0.7409 0.4184 0.5649
Hg 0.7545 0.1101 0.4379
Hg 0.8899 0.2455 0.0621
Mo 0.1437 0.1614 0.8109
Mo 0.1614 0.1437 0.3109
Mo 0.3384 0.3475 0.6850
Mo 0.3475 0.3384 0.1850
Mo 0.6525 0.6616 0.8150
Mo 0.6616 0.6525 0.3150
Mo 0.8386 0.8563 0.6891
Mo 0.8563 0.8386 0.1891
O 0.0550 0.9450 0.7500
O 0.0894 0.6326 0.2164
O 0.1002 0.5582 0.6806
O 0.1390 0.2279 0.1706
O 0.1410 0.1521 0.9260
O 0.1521 0.1410 0.4260
O 0.2279 0.1390 0.6706
O 0.3069 0.3956 0.0733
O 0.3145 0.3184 0.3302
O 0.3184 0.3145 0.8302
O 0.3674 0.9106 0.2836
O 0.3956 0.3069 0.5733
O 0.4418 0.8998 0.8194
O 0.4994 0.5006 0.7500
O 0.5006 0.4994 0.2500
O 0.5582 0.1002 0.1806
O 0.6044 0.6931 0.4267
O 0.6326 0.0894 0.7164
O 0.6816 0.6855 0.1698
O 0.6855 0.6816 0.6698
O 0.6931 0.6044 0.9267
O 0.7721 0.8610 0.3294
O 0.8479 0.8590 0.5740
O 0.8590 0.8479 0.0740
O 0.8610 0.7721 0.8294
O 0.8998 0.4418 0.3194
O 0.9106 0.3674 0.7836
O 0.9450 0.0550 0.2500

Arrangement B

Below is an optimized crystal structure of Hg2Mo2O7, with properties calculated at the GGA+U level.

Summary:
- symmetry = Fd-3m, No. 227
- total magnetization (μB/atom) = 0.1576

a = 7.4854 Å, b = 7.4854 Å, c = 7.4854 Å
α = 60.00°, β = 60.00°, γ = 60.00°
Fractional coordinates of all 22 atoms:
Hg 0.0000 0.0000 0.0000
Hg 0.0000 0.0000 0.5000
Hg 0.0000 0.5000 0.0000
Hg 0.5000 0.0000 0.0000
Mo 0.0000 0.5000 0.5000
Mo 0.5000 0.0000 0.5000
Mo 0.5000 0.5000 0.0000
Mo 0.5000 0.5000 0.5000
O 0.1250 0.1250 0.1250
O 0.1899 0.1899 0.5601
O 0.1899 0.5601 0.1899
O 0.1899 0.5601 0.5601
O 0.4399 0.4399 0.8101
O 0.4399 0.8101 0.4399
O 0.4399 0.8101 0.8101
O 0.5601 0.1899 0.1899
O 0.5601 0.1899 0.5601
O 0.5601 0.5601 0.1899
O 0.8101 0.4399 0.4399
O 0.8101 0.4399 0.8101
O 0.8101 0.8101 0.4399
O 0.8750 0.8750 0.8750

Arrangement C

Below is an optimized crystal structure of Hg2Mo2O7, with properties calculated at the GGA+U level.

Summary:
- symmetry = C2/m, No. 12
- total magnetization (μB/atom) = 0.0000

a = 6.3192 Å, b = 6.3192 Å, c = 6.3980 Å
α = 99.73°, β = 99.73°, γ = 90.09°
Fractional coordinates of all 11 atoms:
Hg 0.1450 0.8550 0.0000
Hg 0.8550 0.1450 0.0000
Mo 0.3407 0.3407 0.6528
Mo 0.6593 0.6593 0.3472
O 0.1635 0.1635 0.4691
O 0.1875 0.5139 0.8166
O 0.4861 0.8125 0.1834
O 0.5000 0.5000 0.5000
O 0.5139 0.1875 0.8166
O 0.8125 0.4861 0.1834
O 0.8365 0.8365 0.5309

Out of the structures above, which one is the most stable? Solution: arrangement A.